NiBClO2 | GGA+U | relaxed

Output
The density of states at the Fermi level comes out at 1.46 states/eV/cell. The value obtained for the spin magnetization is 0.90 μB per cell. The calculated volume is 13.71 Å³/atom. The energy relative to the lowest polymorph listed for this composition is 0.874 eV per atom.

The structure in CIF format:
```
data_NiBClO2
_chemical_formula_sum 'Ni1 B1 Cl1 O2'
_cell_length_a 3.123
_cell_length_b 3.123
_cell_length_c 7.029
_cell_angle_alpha 90.00
_cell_angle_beta 90.00
_cell_angle_gamma 90.00
_space_group_name_H-M_alt 'P 4/m m m'
_space_group_IT_number 123
_space_group_name_Hall '-P 4 2'
loop_
_atom_site_label
_atom_site_type_symbol
_atom_site_fract_x
_atom_site_fract_y
_atom_site_fract_z
_atom_site_occupancy
Ni1 Ni 0.000 0.000 0.000 1
B1 B 0.000 0.000 0.500 1
Cl1 Cl 0.500 0.500 0.000 1
O1 O 0.000 0.500 0.500 1
```